{
  "formula": "Rb2VSnI6",
  "functional": "PBE",
  "state": "optimized geometry",
  "lattice_angstrom": [[8.471, 0.000, 0.000], [0.000, 8.471, 0.000], [4.235, 4.235, 5.989]],
  "species": ["Rb", "I", "I", "I", "Sn", "I", "I", "I", "Rb", "V"],
  "frac_coords": [[0.250, 0.750, 0.500], [0.262, 0.262, 0.000], [0.738, 0.262, 0.000], [0.738, 0.738, 0.523], [0.000, 0.000, 0.000], [0.262, 0.738, 0.000], [0.262, 0.262, 0.477], [0.738, 0.738, 0.000], [0.750, 0.250, 0.500], [0.500, 0.500, 0.000]],
  "n_ef_per_ev_cell": 0.0,
  "volume_a3_per_atom": 42.973,
  "e_tot_ev_per_cell": -32.52,
  "e_form_raw_mev_per_atom": -816,
  "spacegroup": "No. 225"
}

***

{
  "formula": "CaPH4O5F",
  "functional": "PBE",
  "state": "optimized geometry",
  "lattice_angstrom": [[8.612, -0.065, -0.064], [2.457, 5.632, 0.005], [1.956, 1.717, 5.169]],
  "species": ["H", "O", "H", "O", "Ca", "H", "H", "H", "O", "O", "Ca", "F", "O", "P", "F", "O", "H", "O", "P", "O", "H", "O", "H", "O"],
  "frac_coords": [[0.490, 0.239, 0.194], [0.283, 0.341, 0.365], [0.528, 0.689, 0.223], [0.717, 0.659, 0.635], [0.852, 0.323, 0.026], [0.666, 0.636, 0.389], [0.472, 0.311, 0.777], [0.510, 0.761, 0.806], [0.651, 0.646, 0.220], [0.034, 0.322, 0.252], [0.148, 0.677, 0.974], [0.267, 0.928, 0.410], [0.349, 0.354, 0.780], [0.848, 0.802, 0.555], [0.733, 0.072, 0.590], [0.966, 0.678, 0.748], [0.365, 0.987, 0.890], [0.066, 0.127, 0.730], [0.152, 0.198, 0.445], [0.604, 0.194, 0.079], [0.635, 0.013, 0.110], [0.934, 0.873, 0.270], [0.334, 0.364, 0.611], [0.396, 0.806, 0.921]],
  "n_ef_per_ev_cell": 0.0,
  "volume_a3_per_atom": 10.496,
  "e_tot_ev_per_cell": -141.67,
  "spacegroup": "No. 2"
}

***

{
  "formula": "Tl2S2Cl",
  "functional": "PBE",
  "state": "optimized geometry",
  "lattice_angstrom": [[4.400, 0.000, 0.000], [-2.200, 6.233, 0.000], [0.000, 0.000, 11.714]],
  "species": ["Cl", "Cl", "S", "Tl", "Tl", "Tl", "S", "Tl", "S", "S"],
  "frac_coords": [[0.529, 0.058, 0.012], [0.471, 0.942, 0.512], [0.313, 0.627, 0.848], [0.792, 0.585, 0.574], [0.208, 0.415, 0.074], [0.978, 0.957, 0.827], [0.201, 0.402, 0.725], [0.022, 0.043, 0.327], [0.687, 0.373, 0.348], [0.799, 0.598, 0.225]],
  "n_ef_per_ev_cell": 5.4,
  "volume_a3_per_atom": 32.130,
  "e_tot_ev_per_cell": -33.67,
  "e_form_raw_mev_per_atom": -400,
  "spacegroup": "No. 36"
}

***

{
  "formula": "BaAs2",
  "functional": "PBE",
  "state": "optimized geometry",
  "lattice_angstrom": [[0.364, -3.573, -4.512], [3.219, -4.414, -1.846], [-5.141, -8.617, 2.787]],
  "species": ["Ba", "As", "As", "As", "As", "Ba"],
  "frac_coords": [[0.307, 0.307, 0.690], [0.687, 0.687, 0.979], [0.059, 0.059, 0.579], [0.941, 0.941, 0.421], [0.313, 0.313, 0.021], [0.693, 0.693, 0.310]],
  "n_ef_per_ev_cell": 4.3,
  "volume_a3_per_atom": 35.899,
  "e_tot_ev_per_cell": -25.97,
  "spacegroup": "No. 12",
  "ef_ev_per_atom": -0.59
}

***

{
  "formula": "Nd4IrCI2",
  "functional": "PBE",
  "state": "optimized geometry",
  "lattice_angstrom": [[4.036, 0.000, 0.000], [0.000, 7.222, 0.192], [0.000, -2.493, 7.837]],
  "species": ["Nd", "C", "Nd", "I", "Ir", "I", "Nd", "Nd"],
  "frac_coords": [[0.000, 0.709, 0.172], [0.500, 0.500, 0.000], [0.500, 0.751, 0.821], [0.000, 0.500, 0.500], [0.000, 0.000, 0.000], [0.500, 0.000, 0.500], [0.500, 0.249, 0.179], [0.000, 0.291, 0.828]],
  "n_ef_per_ev_cell": 6.0,
  "volume_a3_per_atom": 28.794,
  "e_tot_ev_per_cell": -46.22,
  "e_form_raw_mev_per_atom": -745,
  "spacegroup": "No. 10"
}

***

{
  "formula": "RbLi2Zn2",
  "functional": "PBE",
  "state": "optimized geometry",
  "lattice_angstrom": [[-2.671, 3.912, -7.146], [2.081, -6.943, -4.579], [-2.878, -1.155, 0.443]],
  "species": ["Zn", "Li", "Zn", "Rb", "Rb", "Li", "Zn", "Zn", "Li", "Li"],
  "frac_coords": [[0.890, 0.390, 0.500], [0.668, 0.168, 0.000], [0.610, 0.890, 0.500], [0.500, 0.500, 0.000], [0.000, 0.000, 0.000], [0.332, 0.832, 0.000], [0.110, 0.610, 0.500], [0.390, 0.110, 0.500], [0.168, 0.332, 0.000], [0.832, 0.668, 0.000]],
  "n_ef_per_ev_cell": 5.4,
  "volume_a3_per_atom": 23.026,
  "e_tot_ev_per_cell": -13.75,
  "spacegroup": "No. 127",
  "ef_ev_per_atom": 0.09
}

***

{
  "formula": "BaAlIn2",
  "functional": "PBE",
  "state": "optimized geometry",
  "lattice_angstrom": [[6.837, -1.055, -0.626], [5.889, 3.630, -0.626], [5.889, 1.192, 3.486]],
  "species": ["Ba", "In", "Al", "In"],
  "frac_coords": [[0.750, 0.750, 0.750], [0.533, 0.533, 0.533], [0.250, 0.250, 0.250], [0.967, 0.967, 0.967]],
  "n_ef_per_ev_cell": 2.4,
  "volume_a3_per_atom": 31.532,
  "e_tot_ev_per_cell": -12.12,
  "spacegroup": "No. 166",
  "ef_ev_per_atom": -0.25
}

***

{
  "formula": "K2PuSb2O6",
  "functional": "PBE",
  "state": "optimized geometry",
  "lattice_angstrom": [[-2.288, 5.508, -4.049], [-0.080, -5.850, -1.496], [-5.104, 0.696, 3.830]],
  "species": ["O", "O", "K", "O", "O", "Sb", "Pu", "O", "Sb", "K", "O"],
  "frac_coords": [[0.728, 0.060, 0.288], [0.272, 0.940, 0.712], [0.682, 0.363, 0.076], [0.668, 0.940, 0.712], [0.332, 0.060, 0.288], [0.952, 0.904, 0.730], [0.500, 0.000, 0.500], [0.254, 0.509, 0.311], [0.048, 0.096, 0.270], [0.318, 0.637, 0.924], [0.746, 0.491, 0.689]],
  "n_ef_per_ev_cell": 5.5,
  "volume_a3_per_atom": 19.430,
  "e_tot_ev_per_cell": -73.81,
  "e_form_raw_mev_per_atom": -1753,
  "spacegroup": "No. 12"
}

***

{
  "formula": "Sr3YTm3Se8",
  "functional": "PBE",
  "state": "optimized geometry",
  "lattice_angstrom": [[-0.071, 4.426, 6.964], [0.475, -8.232, 0.348], [6.799, 4.413, -2.736]],
  "species": ["Se", "Se", "Se", "Sr", "Se", "Sr", "Sr", "Tm", "Tm", "Y", "Se", "Se", "Tm", "Se", "Se"],
  "frac_coords": [[0.245, 0.981, 0.726], [0.258, 0.516, 0.274], [0.736, 0.981, 0.726], [0.000, 0.000, 0.000], [0.755, 0.510, 0.274], [0.500, 0.500, 0.000], [0.000, 0.500, 0.000], [0.000, 0.500, 0.500], [0.500, 0.500, 0.500], [0.000, 0.000, 0.500], [0.755, 0.019, 0.274], [0.245, 0.490, 0.726], [0.500, 0.000, 0.500], [0.264, 0.019, 0.274], [0.742, 0.484, 0.726]],
  "n_ef_per_ev_cell": 4.7,
  "volume_a3_per_atom": 27.938,
  "e_tot_ev_per_cell": -81.44,
  "e_form_raw_mev_per_atom": -1909,
  "spacegroup": "No. 166"
}

***

{
  "formula": "Tl4FeHg",
  "functional": "PBE",
  "state": "optimized geometry",
  "lattice_angstrom": [[-0.902, -6.229, -0.851], [-3.321, -3.339, 4.262], [-5.770, -2.200, -1.487]],
  "species": ["Tl", "Tl", "Tl", "Hg", "Fe", "Tl"],
  "frac_coords": [[0.375, 0.375, 0.375], [0.375, 0.375, 0.874], [0.874, 0.375, 0.375], [0.000, 0.000, 0.000], [0.750, 0.750, 0.750], [0.375, 0.874, 0.375]],
  "n_ef_per_ev_cell": 4.7,
  "volume_a3_per_atom": 30.198,
  "e_tot_ev_per_cell": -14.41,
  "spacegroup": "No. 216",
  "ef_ev_per_atom": 0.64
}

***

{
  "formula": "Tl2CdBr",
  "functional": "PBE",
  "state": "optimized geometry",
  "lattice_angstrom": [[-5.254, -1.842, 0.920], [-4.332, 3.609, -0.212], [-3.685, -0.262, -4.265]],
  "species": ["Tl", "Cd", "Tl", "Br"],
  "frac_coords": [[0.750, 0.750, 0.750], [0.500, 0.500, 0.500], [0.250, 0.250, 0.250], [0.000, 0.000, 0.000]],
  "n_ef_per_ev_cell": 4.4,
  "volume_a3_per_atom": 31.764,
  "e_tot_ev_per_cell": -8.09,
  "e_form_raw_mev_per_atom": -192,
  "spacegroup": "No. 225"
}

***

{
  "formula": "AcGa3Ag3",
  "functional": "PBE",
  "state": "optimized geometry",
  "lattice_angstrom": [[9.165, 0.000, 0.000], [4.582, 7.937, 0.000], [4.582, 2.646, 4.266]],
  "species": ["Ac", "Ag", "Ag", "Ag", "Ga", "Ac", "Ga", "Ag", "Ga", "Ga", "Ag", "Ga", "Ag", "Ga"],
  "frac_coords": [[0.305, 0.305, 0.086], [0.911, 0.314, 0.769], [0.089, 0.686, 0.231], [0.314, 0.006, 0.769], [0.235, 0.406, 0.593], [0.695, 0.695, 0.914], [0.406, 0.767, 0.593], [0.006, 0.911, 0.769], [0.765, 0.594, 0.407], [0.594, 0.233, 0.407], [0.994, 0.089, 0.231], [0.767, 0.235, 0.593], [0.686, 0.994, 0.231], [0.233, 0.765, 0.407]],
  "n_ef_per_ev_cell": 6.3,
  "volume_a3_per_atom": 22.166,
  "e_tot_ev_per_cell": -46.43,
  "spacegroup": "No. 148",
  "ef_ev_per_atom": -0.21
}

***

{
  "formula": "SbSeI2F",
  "functional": "PBE",
  "state": "optimized geometry",
  "lattice_angstrom": [[-0.695, -4.809, 2.724], [5.315, 0.171, 1.657], [-1.561, 2.892, 4.708]],
  "species": ["I", "I", "F", "Sb", "Se"],
  "frac_coords": [[0.500, 0.000, 0.000], [0.000, 0.500, 0.000], [0.500, 0.500, 0.500], [0.000, 0.000, 0.500], [0.000, 0.000, 0.000]],
  "n_ef_per_ev_cell": 6.0,
  "volume_a3_per_atom": 35.627,
  "e_tot_ev_per_cell": -11.20,
  "e_form_raw_mev_per_atom": 276,
  "spacegroup": "No. 123"
}

***

{
  "formula": "Ga2BiMoI",
  "functional": "PBE",
  "state": "optimized geometry",
  "lattice_angstrom": [[5.864, 0.000, 0.000], [0.000, 5.556, 0.000], [0.000, 0.000, 5.864]],
  "species": ["Ga", "Ga", "I", "Bi", "Mo"],
  "frac_coords": [[0.500, 0.000, 0.000], [0.000, 0.000, 0.500], [0.500, 0.500, 0.500], [0.000, 0.000, 0.000], [0.000, 0.500, 0.000]],
  "n_ef_per_ev_cell": 2.3,
  "volume_a3_per_atom": 38.209,
  "e_tot_ev_per_cell": -17.51,
  "e_form_raw_mev_per_atom": 961,
  "spacegroup": "No. 123"
}

***

{
  "formula": "TbDy2Y4",
  "functional": "PBE",
  "state": "optimized geometry",
  "lattice_angstrom": [[6.717, 0.000, 0.000], [3.358, 8.232, -1.172], [3.358, 1.571, 8.165]],
  "species": ["Y", "Dy", "Tb", "Y", "Tb", "Dy", "Y", "Y", "Dy", "Y", "Dy", "Y", "Y", "Y"],
  "frac_coords": [[0.215, 0.761, 0.261], [0.500, 0.500, 0.500], [0.500, 0.500, 0.000], [0.854, 0.640, 0.653], [0.000, 0.500, 0.000], [0.277, 0.973, 0.473], [0.146, 0.847, 0.860], [0.237, 0.239, 0.739], [0.723, 0.027, 0.527], [0.146, 0.360, 0.347], [0.500, 0.000, 0.000], [0.854, 0.153, 0.140], [0.785, 0.239, 0.739], [0.763, 0.761, 0.261]],
  "n_ef_per_ev_cell": 23.6,
  "volume_a3_per_atom": 33.132,
  "e_tot_ev_per_cell": -75.50,
  "spacegroup": "No. 74",
  "ef_ev_per_atom": 0.28
}

***

{
  "formula": "KCa2PIr",
  "functional": "PBE",
  "state": "optimized geometry",
  "lattice_angstrom": [[-1.355, -5.097, -1.181], [1.092, -1.554, 5.455], [-5.131, 1.056, 1.328]],
  "species": ["K", "Ca", "P", "Ir", "Ca"],
  "frac_coords": [[0.000, 0.500, 0.000], [0.500, 0.000, 0.000], [0.000, 0.000, 0.000], [0.500, 0.500, 0.500], [0.000, 0.000, 0.500]],
  "n_ef_per_ev_cell": 2.3,
  "volume_a3_per_atom": 33.747,
  "e_tot_ev_per_cell": -17.90,
  "spacegroup": "No. 123",
  "ef_ev_per_atom": 0.29
}

***

{
  "formula": "TlHgPO2",
  "functional": "PBE",
  "state": "optimized geometry",
  "lattice_angstrom": [[-0.263, -2.751, 3.197], [2.614, -2.619, -2.039], [4.108, 2.298, 2.315]],
  "species": ["P", "Tl", "O", "Hg", "O"],
  "frac_coords": [[0.000, 0.000, 0.500], [0.500, 0.500, 0.500], [0.000, 0.500, 0.000], [0.000, 0.000, 0.000], [0.500, 0.000, 0.000]],
  "n_ef_per_ev_cell": 5.9,
  "volume_a3_per_atom": 18.732,
  "e_tot_ev_per_cell": -15.45,
  "e_form_raw_mev_per_atom": 510,
  "spacegroup": "No. 123"
}

***

{
  "formula": "Be2ReP",
  "functional": "PBE",
  "state": "optimized geometry",
  "lattice_angstrom": [[-0.119, 2.847, 1.013], [-2.946, 0.117, -0.675], [-1.075, -1.614, 4.410]],
  "species": ["Be", "P", "Be", "Re"],
  "frac_coords": [[0.000, 0.000, 0.032], [0.000, 0.000, 0.490], [0.500, 0.500, 0.238], [0.500, 0.500, 0.740]],
  "n_ef_per_ev_cell": 0.7,
  "volume_a3_per_atom": 11.017,
  "e_tot_ev_per_cell": -25.89,
  "spacegroup": "No. 99",
  "ef_ev_per_atom": -0.15
}

***

{
  "formula": "PmEu2Ga",
  "functional": "PBE",
  "state": "optimized geometry",
  "lattice_angstrom": [[3.717, 0.000, 0.000], [0.000, 3.717, 0.000], [0.000, 0.000, 9.230]],
  "species": ["Eu", "Pm", "Eu", "Ga"],
  "frac_coords": [[0.000, 0.000, 0.199], [0.500, 0.500, 0.500], [0.000, 0.000, 0.801], [0.500, 0.500, 0.000]],
  "n_ef_per_ev_cell": 4.7,
  "volume_a3_per_atom": 31.876,
  "e_tot_ev_per_cell": -29.03,
  "spacegroup": "No. 123",
  "ef_ev_per_atom": -0.18
}

***

{
  "formula": "OsPtBr3",
  "functional": "PBE",
  "state": "optimized geometry",
  "lattice_angstrom": [[-2.344, -1.588, -4.137], [3.910, -2.943, -1.086], [-2.085, -3.735, 2.615]],
  "species": ["Br", "Br", "Pt", "Os", "Br"],
  "frac_coords": [[0.000, 0.500, 0.000], [0.500, 0.000, 0.000], [0.500, 0.500, 0.500], [0.000, 0.000, 0.000], [0.000, 0.000, 0.500]],
  "n_ef_per_ev_cell": 7.5,
  "volume_a3_per_atom": 25.192,
  "e_tot_ev_per_cell": -16.45,
  "e_form_raw_mev_per_atom": 1169,
  "spacegroup": "No. 221"
}

***

{
  "formula": "Ac5Tl4In",
  "functional": "PBE",
  "state": "optimized geometry",
  "lattice_angstrom": [[-2.485, 2.359, 2.281], [-2.769, 0.027, -3.045], [-8.893, -17.041, 7.938]],
  "species": ["Tl", "In", "Ac", "Ac", "Ac", "Tl", "Tl", "Ac", "Tl", "Ac"],
  "frac_coords": [[0.000, 0.000, 0.400], [0.000, 0.000, 0.000], [0.500, 0.500, 0.098], [0.500, 0.500, 0.299], [0.500, 0.500, 0.701], [0.000, 0.000, 0.199], [0.000, 0.000, 0.801], [0.500, 0.500, 0.500], [0.000, 0.000, 0.600], [0.500, 0.500, 0.902]],
  "n_ef_per_ev_cell": 11.3,
  "volume_a3_per_atom": 35.231,
  "e_tot_ev_per_cell": -36.41,
  "spacegroup": "No. 123",
  "ef_ev_per_atom": -0.37
}

***

{
  "formula": "AcTbY2",
  "functional": "PBE",
  "state": "optimized geometry",
  "lattice_angstrom": [[3.701, 0.000, 0.000], [1.851, 3.205, 0.000], [1.851, 1.068, 11.858]],
  "species": ["Y", "Ac", "Y", "Tb"],
  "frac_coords": [[0.080, 0.080, 0.761], [0.500, 0.500, 0.499], [0.254, 0.254, 0.239], [0.666, 0.666, 0.001]],
  "n_ef_per_ev_cell": 5.9,
  "volume_a3_per_atom": 35.170,
  "e_tot_ev_per_cell": -21.43,
  "spacegroup": "No. 160",
  "ef_ev_per_atom": 0.06
}

***

{
  "formula": "Na2TlCoSn",
  "functional": "PBE",
  "state": "optimized geometry",
  "lattice_angstrom": [[-2.097, -1.308, -4.808], [-3.807, -2.051, 2.219], [-2.626, 4.723, -0.140]],
  "species": ["Tl", "Na", "Na", "Sn", "Co"],
  "frac_coords": [[0.500, 0.500, 0.500], [0.000, 0.000, 0.500], [0.500, 0.000, 0.000], [0.000, 0.500, 0.000], [0.000, 0.000, 0.000]],
  "n_ef_per_ev_cell": 9.3,
  "volume_a3_per_atom": 28.410,
  "e_tot_ev_per_cell": -14.60,
  "spacegroup": "No. 123",
  "ef_ev_per_atom": 0.30
}

***

{
  "formula": "NaCa2MnAs",
  "functional": "PBE",
  "state": "optimized geometry",
  "lattice_angstrom": [[-2.502, 2.894, -4.137], [-4.152, -0.048, 2.477], [1.442, 4.834, 2.510]],
  "species": ["Na", "Mn", "Ca", "Ca", "As"],
  "frac_coords": [[0.000, 0.000, 0.000], [0.000, 0.500, 0.000], [0.000, 0.000, 0.500], [0.500, 0.000, 0.000], [0.500, 0.500, 0.500]],
  "n_ef_per_ev_cell": 6.9,
  "volume_a3_per_atom": 30.700,
  "e_tot_ev_per_cell": -15.43,
  "spacegroup": "No. 123",
  "ef_ev_per_atom": 0.74
}

***

{
  "formula": "SrV3Rh",
  "functional": "PBE",
  "state": "optimized geometry",
  "lattice_angstrom": [[4.447, 0.000, 0.000], [0.000, 4.447, 0.000], [0.000, 0.000, 4.447]],
  "species": ["Sr", "Rh", "V", "V", "V"],
  "frac_coords": [[0.000, 0.000, 0.000], [0.500, 0.500, 0.500], [0.000, 0.000, 0.500], [0.500, 0.000, 0.000], [0.000, 0.500, 0.000]],
  "n_ef_per_ev_cell": 8.3,
  "volume_a3_per_atom": 17.587,
  "e_tot_ev_per_cell": -24.26,
  "spacegroup": "No. 221",
  "ef_ev_per_atom": 2.42
}